# Sr2CoSn, relaxed, DFT PBE
# SG: No. 122
# D(E_F) in states/eV/cell: 5.82
# Energy relative to the elements in meV per atom: -41
data_Sr2CoSn
_cell_length_a 11.041
_cell_length_b 11.041
_cell_length_c 8.177
_cell_angle_alpha 47.54
_cell_angle_beta 47.54
_cell_angle_gamma 90.00
_symmetry_space_group_name_H-M 'P 1'
_symmetry_Int_Tables_number 1
_symmetry_space_group_name_Hall 'P 1'
loop_
_atom_site_label
_atom_site_fract_x
_atom_site_fract_y
_atom_site_fract_z
Sr1 0.449 0.125 0.250
Sr2 0.301 0.625 0.250
Sr3 0.375 0.551 0.750
Sr4 0.875 0.699 0.750
Co1 0.500 0.500 0.000
Co2 0.250 0.750 0.500
Sn1 0.000 0.000 0.000
Sn2 0.750 0.250 0.500